First-principles (PBE) data for an optimized crystal structure of Ac5PaPt5, as listed in Alexandria via LeMat-Bulk.

The space group is C2/m (No. 12) and the conventional cell measures 13.741, 6.104 and 8.632 Å, with angles of 90.00, 108.66 and 90.00 degrees. Symmetry generates all atoms from Ac at (0.000, 0.000, 0.000), Ac at (0.167, 0.500, 0.339), Ac at (0.173, 0.500, 0.826), Pa at (0.000, 0.000, 0.500), Pt at (0.000, 0.500, 0.500), Pt at (0.152, 0.000, 0.342) and Pt at (0.156, 0.000, 0.814).

Its formation energy is -1.021 eV per atom. The density of states at the Fermi level comes out at 5.2 states/eV/f.u. The density comes out at 11.34 Mg/m³.